Density functional theory data (GGA-PBE) for a geometry-optimized CsK2Te structure.

Cell: 5.703 5.703 27.826 Å, 90.00 90.00 120.00°
Fractional coordinates of all 12 atoms:
Cs1 0.000 0.000 0.000
Cs2 0.333 0.667 0.667
Cs3 0.667 0.333 0.333
K1 0.000 0.000 0.226
K2 0.000 0.000 0.474
K3 0.333 0.667 0.141
K4 0.333 0.667 0.893
K5 0.667 0.333 0.559
K6 0.667 0.333 0.807
Te1 0.000 0.000 0.857
Te2 0.333 0.667 0.524
Te3 0.667 0.333 0.190

Output
density of states at the Fermi level: 0.358 states/eV/atom
calculated volume: 65.32 Å³/atom
formation energy without anion corrections: -0.677 eV per atom